1.
This record from the Alexandria database describes crystalline NaLa2Pt at its relaxed geometry. The functional is PBE.

Lattice parameters (Å, degrees): 4.2789 4.2789 28.4332 90.00 90.00 120.00
Space group R-3m (No. 166, hexagonal axes)
One atom of each set of equivalent atoms:
Na (0.0000, 0.0000, 0.0000) (multiplicity 3)
La (0.0000, 0.0000, 0.2215) (multiplicity 6)
Pt (0.0000, 0.0000, 0.5000) (multiplicity 3)

Magnetic moment in Bohr magnetons per cell: 0.0

2.
This record from the Alexandria database describes crystalline NaLa2Pt2 at its relaxed geometry. The functional is PBE.

Lattice parameters (Å, degrees): 5.570 5.570 9.106 90.00 90.00 90.00
Space group I4/mmm (No. 139)
One atom of each set of equivalent atoms:
Na (0.000, 0.000, 0.000) (multiplicity 2)
La (0.000, 0.500, 0.250) (multiplicity 4)
Pt (0.000, 0.000, 0.353) (multiplicity 4)

Polymorph energy (0 for the lowest one) in eV per atom: 0.170
Magnetic moment in Bohr magnetons per cell: 0.0

no.,VASP energy (eV per atom)
1,-4.85
2,-5.37